No. 1
Material: CsGe
Method: DFT, PBE
State: relaxed

```
CsGe
1.0
-2.0803 4.9221 5.1101
2.0803 -4.9221 5.1101
2.0803 4.9221 -5.1101
Cs Ge
2 2
Direct
0.0000 0.0000 0.0000 Cs
0.5000 0.0000 0.5000 Cs
0.4313 0.6813 0.7500 Ge
0.5687 0.3187 0.2500 Ge
```

Summary:
The total energy is -2.83 eV per atom. The calculation puts the offset from the most stable computed form at 11.8 kJ per mole of atoms. Its volume is 52.3 Å³/atom. As for the density of states at the Fermi level: 0.94 states/eV/f.u.


No. 2
Material: CsGe5
Method: DFT, PBE
State: relaxed

```
CsGe5
1.0
2.6807 -5.8364 0.0000
2.6807 5.8364 0.0000
0.0000 0.0000 4.9591
Cs Ge
1 5
Direct
0.0000 0.0000 0.0000 Cs
0.2315 0.7685 0.5000 Ge
0.3059 0.6941 0.0000 Ge
0.5000 0.5000 0.5000 Ge
0.6941 0.3059 0.0000 Ge
0.7685 0.2315 0.5000 Ge
```

Summary:
The total energy is -3.61 eV per atom. Its volume is 25.9 Å³/atom. As for the density of states at the Fermi level: 3.50 states/eV/f.u.


Asked for energy of formation from the pure elements across the records above, the calculation gives -0.093 0.377 eV/atom in order.